<1>
# PBE Li2TlBi2, relaxed
data_Li2TlBi2
_chemical_formula_sum 'Li4 Tl2 Bi4'
_cell_length_a 4.968
_cell_length_b 7.715
_cell_length_c 7.494
_cell_angle_alpha 90.00
_cell_angle_beta 90.00
_cell_angle_gamma 90.00
_space_group_name_H-M_alt 'C m m m'
_space_group_IT_number 65
_space_group_name_Hall '-C 2 2'
loop_
_atom_site_label
_atom_site_fract_x
_atom_site_fract_y
_atom_site_fract_z
Li1 0.000 0.169 0.000
Tl1 0.000 0.000 0.500
Bi1 0.000 0.500 0.205
# - magnetization (Bohr magnetons per cell) = 0.0
# - calculated density (g cm⁻³) = 7.36

<2>
# PBE Li2TlBi2, relaxed
data_Li2TlBi2
_chemical_formula_sum 'Li4 Tl2 Bi4'
_cell_length_a 8.877
_cell_length_b 8.877
_cell_length_c 3.288
_cell_angle_alpha 90.00
_cell_angle_beta 90.00
_cell_angle_gamma 90.00
_space_group_name_H-M_alt 'P 4/m b m'
_space_group_IT_number 127
_space_group_name_Hall '-P 4 2ab'
loop_
_atom_site_label
_atom_site_fract_x
_atom_site_fract_y
_atom_site_fract_z
Li1 0.126 0.374 0.000
Tl1 0.000 0.000 0.000
Bi1 0.167 0.667 0.500
# - magnetization (Bohr magnetons per cell) = 0.0
# - calculated density (g cm⁻³) = 8.15

<3>
# PBE Li2TlBi2, relaxed
data_Li2TlBi2
_chemical_formula_sum 'Li4 Tl2 Bi4'
_cell_length_a 8.995
_cell_length_b 8.995
_cell_length_c 3.251
_cell_angle_alpha 90.00
_cell_angle_beta 90.00
_cell_angle_gamma 90.00
_space_group_name_H-M_alt 'P 4/m b m'
_space_group_IT_number 127
_space_group_name_Hall '-P 4 2ab'
loop_
_atom_site_label
_atom_site_fract_x
_atom_site_fract_y
_atom_site_fract_z
Li1 0.137 0.363 0.000
Tl1 0.000 0.000 0.500
Bi1 0.156 0.656 0.500
# - magnetization (Bohr magnetons per cell) = 0.0
# - calculated density (g cm⁻³) = 8.03

<4>
# PBE Li2TlBi2, relaxed
data_Li2TlBi2
_chemical_formula_sum 'Li2 Tl1 Bi2'
_cell_length_a 5.0842
_cell_length_b 5.0842
_cell_length_c 5.8156
_cell_angle_alpha 90.00
_cell_angle_beta 90.00
_cell_angle_gamma 120.00
_space_group_name_H-M_alt 'P -3 m 1'
_space_group_IT_number 164
_space_group_name_Hall '-P 3 2"'
loop_
_atom_site_label
_atom_site_fract_x
_atom_site_fract_y
_atom_site_fract_z
Li1 0.3333 0.6667 0.1452
Tl1 0.0000 0.0000 0.0000
Bi1 0.3333 0.6667 0.6424
# - magnetization (Bohr magnetons per cell) = 0.0
# - calculated density (g cm⁻³) = 8.11

On energetic grounds, <2> is preferred over the next structure by 2.4 kJ/mol of atoms.